! PBE-GGA Li5In2Hg12, relaxed; values from VASP
! Total magnetic moment   0.000 μB per formula unit
! ΔE to the lowest computed polymorph   0 meV/atom
! ΔH_f (0 K)   -15.6 kJ/mol of atoms
&SYSTEM
  ibrav = 0, nat = 19, ntyp = 3
/
ATOMIC_SPECIES
Li 6.94 Li.upf
In 114.82 In.upf
Hg 200.59 Hg.upf
CELL_PARAMETERS angstrom
6.828 -3.921 0.000
6.828 3.921 0.000
-1.881 0.000 8.117
ATOMIC_POSITIONS angstrom
Li 0.000 0.000 0.000
Li 3.102 0.000 0.325
Li 4.105 0.000 6.842
Li 7.669 0.000 1.275
Li 8.672 0.000 7.792
In 5.887 2.345 4.058
In 5.887 -2.345 4.058
Hg 3.359 2.419 5.887
Hg 5.274 1.657 1.034
Hg 1.345 0.000 5.679
Hg 8.415 2.419 2.230
Hg 3.935 0.000 3.683
Hg 6.500 1.657 7.082
Hg 5.274 -1.657 1.034
Hg 7.839 0.000 4.434
Hg 3.359 -2.419 5.887
Hg 10.429 0.000 2.437
Hg 6.500 -1.657 7.082
Hg 8.415 -2.419 2.230

---

! PBE-GGA CdPdI2, relaxed; values from VASP
! Formation energy (no corrections)   0.22 eV/atom
! Total magnetic moment   0.000 μB per formula unit
! ΔE to the lowest computed polymorph   349 meV/atom
&SYSTEM
  ibrav = 0, nat = 4, ntyp = 3
/
ATOMIC_SPECIES
Cd 112.41 Cd.upf
Pd 106.42 Pd.upf
I 126.90 I.upf
CELL_PARAMETERS angstrom
0.000 3.764 3.764
3.764 0.000 3.764
3.764 3.764 0.000
ATOMIC_POSITIONS angstrom
Cd 0.000 0.000 0.000
Pd 3.764 3.764 3.764
I 1.882 1.882 1.882
I 5.646 5.646 5.646

---

! PBE-GGA HfMgAl2Pb, relaxed; values from VASP
! Total magnetic moment   0.000 μB per formula unit
! ΔH_f (0 K)   84.8 kJ/mol of atoms
&SYSTEM
  ibrav = 0, nat = 5, ntyp = 4
/
ATOMIC_SPECIES
Hf 178.49 Hf.upf
Mg 24.30 Mg.upf
Al 26.98 Al.upf
Pb 207.20 Pb.upf
CELL_PARAMETERS angstrom
4.896 0.000 0.000
0.000 4.896 0.000
0.000 0.000 5.316
ATOMIC_POSITIONS angstrom
Hf 0.000 0.000 0.000
Mg 0.000 0.000 2.658
Al 0.000 2.448 2.658
Al 2.448 0.000 2.658
Pb 2.448 2.448 0.000

---

! PBE-GGA Ca3Zn4Ni4, relaxed; values from VASP
! Total magnetic moment   0.000 μB per formula unit
! ΔH_f (0 K)   -25.5 kJ/mol of atoms
&SYSTEM
  ibrav = 0, nat = 11, ntyp = 3
/
ATOMIC_SPECIES
Ca 40.08 Ca.upf
Zn 65.41 Zn.upf
Ni 58.69 Ni.upf
CELL_PARAMETERS angstrom
-3.710 3.710 3.710
3.710 -3.710 3.710
3.710 3.710 -3.710
ATOMIC_POSITIONS angstrom
Ca 3.710 0.000 0.000
Ca 0.000 3.710 0.000
Ca 0.000 0.000 3.710
Zn 2.227 2.227 -2.227
Zn 2.227 -2.227 2.227
Zn 1.484 1.484 1.484
Zn -2.227 2.227 2.227
Ni 0.867 0.867 -0.867
Ni 0.867 -0.867 0.867
Ni -0.867 0.867 0.867
Ni 2.843 2.843 2.843

---

! PBE-GGA TaBeW2, relaxed; values from VASP
! Total magnetic moment   0.000 μB per formula unit
! ΔH_f (0 K)   20.4 kJ/mol of atoms
&SYSTEM
  ibrav = 0, nat = 4, ntyp = 3
/
ATOMIC_SPECIES
Ta 180.95 Ta.upf
Be 9.01 Be.upf
W 183.84 W.upf
CELL_PARAMETERS angstrom
2.761 -4.194 0.000
2.761 4.194 0.000
-1.972 0.000 2.650
ATOMIC_POSITIONS angstrom
Ta 0.000 0.000 0.000
Be 1.775 2.043 1.325
W 2.761 0.013 0.000
W 1.775 -2.040 1.325

---

! PBE-GGA K3Tl5S12, relaxed; values from VASP
! Formation energy (no corrections)   -0.31 eV/atom
! Total magnetic moment   0.000 μB per formula unit
&SYSTEM
  ibrav = 0, nat = 80, ntyp = 3
/
ATOMIC_SPECIES
K 39.10 K.upf
Tl 204.38 Tl.upf
S 32.06 S.upf
CELL_PARAMETERS angstrom
-8.884 8.884 8.884
8.884 -8.884 8.884
8.884 8.884 -8.884
ATOMIC_POSITIONS angstrom
K 4.442 2.221 0.000
K 8.884 4.442 -2.221
K 2.221 0.000 4.442
K 11.105 0.000 4.442
K 0.000 4.442 2.221
K 4.442 -2.221 8.884
K 4.442 11.105 0.000
K 8.884 4.442 6.663
K -2.221 8.884 4.442
K 6.663 8.884 4.442
K 0.000 4.442 11.105
K 4.442 6.663 8.884
Tl 0.000 0.000 0.000
Tl 4.442 4.442 -4.442
Tl 4.442 -4.442 4.442
Tl 8.884 0.000 0.000
Tl 13.327 2.221 0.000
Tl 8.884 -4.442 6.663
Tl 6.663 8.884 -4.442
Tl 6.663 0.000 4.442
Tl 4.442 6.663 0.000
Tl 8.884 4.442 2.221
Tl -4.442 4.442 4.442
Tl 0.000 8.884 0.000
Tl 0.000 0.000 8.884
Tl 4.442 4.442 4.442
Tl 0.000 4.442 6.663
Tl 4.442 2.221 8.884
Tl 2.221 8.884 4.442
Tl 2.221 0.000 13.327
Tl 0.000 13.327 2.221
Tl -4.442 6.663 8.884
S 2.290 -1.317 1.674
S 11.036 6.116 -5.759
S 7.568 -1.674 2.290
S 14.643 -2.152 2.769
S 1.674 2.290 -1.317
S 11.653 3.125 -2.152
S 11.174 1.317 1.674
S 11.036 -2.769 5.759
S 6.116 5.759 -2.152
S 7.211 2.290 1.317
S -1.317 1.674 2.290
S 5.759 -2.152 6.116
S 7.568 7.211 -2.290
S 5.759 2.152 2.769
S 7.211 -2.290 7.568
S 6.116 -5.759 11.036
S 2.290 7.568 -1.674
S 11.036 2.769 3.125
S 2.769 5.759 2.152
S 10.558 6.594 1.317
S 5.759 11.036 -2.769
S 7.568 1.674 6.594
S 2.152 2.769 5.759
S 2.290 1.317 7.211
S 6.594 7.568 1.674
S 6.732 6.116 3.125
S 1.317 7.211 2.290
S 3.125 -2.152 11.653
S -1.674 2.290 7.568
S 6.116 3.125 6.732
S -2.152 6.116 5.759
S 6.594 1.317 10.558
S 2.769 14.643 -2.152
S 1.674 11.174 1.317
S 3.125 6.732 6.116
S 1.317 1.674 11.174
S 3.125 11.036 2.769
S 10.201 7.211 6.594
S 1.674 6.594 7.568
S 2.769 3.125 11.036
S -2.152 11.653 3.125
S -2.290 7.568 7.211
S -2.769 5.759 11.036
S 7.211 6.594 10.201
S -5.759 11.036 6.116
S 1.317 10.558 6.594
S -2.152 2.769 14.643
S 6.594 10.201 7.211

---

! PBE-GGA ScRu3Se, relaxed; values from VASP
! Formation energy (no corrections)   1.61 eV/atom
! Total magnetic moment   4.917 μB per formula unit
! ΔE to the lowest computed polymorph   1240 meV/atom
&SYSTEM
  ibrav = 0, nat = 5, ntyp = 3
/
ATOMIC_SPECIES
Sc 44.96 Sc.upf
Ru 101.07 Ru.upf
Se 78.96 Se.upf
CELL_PARAMETERS angstrom
4.706 0.000 0.000
0.000 4.706 0.000
0.000 0.000 4.706
ATOMIC_POSITIONS angstrom
Sc 0.000 0.000 0.000
Ru 0.000 0.000 2.353
Ru 0.000 2.353 0.000
Ru 2.353 0.000 0.000
Se 2.353 2.353 2.353

---

! PBE-GGA Sc3SI3, relaxed; values from VASP
! Formation energy (no corrections)   -1.22 eV/atom
! Total magnetic moment   0.000 μB per formula unit
&SYSTEM
  ibrav = 0, nat = 28, ntyp = 3
/
ATOMIC_SPECIES
Sc 44.96 Sc.upf
S 32.06 S.upf
I 126.90 I.upf
CELL_PARAMETERS angstrom
-5.711 5.711 5.711
5.711 -5.711 5.711
5.711 5.711 -5.711
ATOMIC_POSITIONS angstrom
Sc 1.756 1.428 -1.100
Sc 6.811 1.756 -1.428
Sc 1.428 -1.100 1.756
Sc 4.611 3.955 -1.428
Sc 3.955 1.428 1.100
Sc -1.100 1.756 1.428
Sc 3.955 -1.428 4.611
Sc 1.428 1.100 3.955
Sc 1.100 3.955 1.428
Sc 1.756 -1.428 6.811
Sc -1.428 6.811 1.756
Sc -1.428 4.611 3.955
S 4.283 1.428 -1.428
S 1.428 1.428 1.428
S 1.428 -1.428 4.283
S -1.428 4.283 1.428
I 7.139 1.394 1.462
I 7.139 -1.394 4.250
I 4.250 7.139 -1.394
I 4.317 1.462 4.283
I 4.283 4.317 1.462
I 1.462 7.139 1.394
I 7.105 4.250 4.283
I 1.462 4.283 4.317
I 1.394 1.462 7.139
I 4.283 7.105 4.250
I -1.394 4.250 7.139
I 4.250 4.283 7.105

---

! PBE-GGA Al4AsIr, relaxed; values from VASP
! Total magnetic moment   0.000 μB per formula unit
! ΔH_f (0 K)   22.0 kJ/mol of atoms
&SYSTEM
  ibrav = 0, nat = 6, ntyp = 3
/
ATOMIC_SPECIES
Al 26.98 Al.upf
As 74.92 As.upf
Ir 192.22 Ir.upf
CELL_PARAMETERS angstrom
0.000 3.640 3.640
3.640 0.000 3.640
3.640 3.640 0.000
ATOMIC_POSITIONS angstrom
Al 0.909 0.909 0.909
Al 2.731 2.731 0.909
Al 2.731 0.909 2.731
Al 0.909 2.731 2.731
As 5.460 5.460 5.460
Ir 3.640 3.640 3.640

---

! PBE-GGA CrRhW2, relaxed; values from VASP
! Total magnetic moment   0.000 μB per formula unit
! ΔE to the lowest computed polymorph   2 meV/atom
! ΔH_f (0 K)   9.2 kJ/mol of atoms
&SYSTEM
  ibrav = 0, nat = 4, ntyp = 3
/
ATOMIC_SPECIES
Cr 52.00 Cr.upf
Rh 102.91 Rh.upf
W 183.84 W.upf
CELL_PARAMETERS angstrom
1.657 -2.125 0.000
1.657 2.125 0.000
0.000 0.000 8.344
ATOMIC_POSITIONS angstrom
Cr 0.000 0.000 0.000
Rh 1.657 0.000 1.876
W 0.000 0.000 4.010
W 1.657 0.000 6.279

---

! PBE-GGA Rb4Sm3BiTe8, relaxed; values from VASP
! Formation energy (no corrections)   -1.20 eV/atom
! Total magnetic moment   0.000 μB per formula unit
&SYSTEM
  ibrav = 0, nat = 16, ntyp = 4
/
ATOMIC_SPECIES
Rb 85.47 Rb.upf
Sm 150.36 Sm.upf
Bi 208.98 Bi.upf
Te 127.60 Te.upf
CELL_PARAMETERS angstrom
4.617 2.666 8.561
-4.617 2.666 8.561
0.000 -5.332 8.561
ATOMIC_POSITIONS angstrom
Rb 0.000 0.000 0.000
Rb -2.309 -1.333 8.561
Rb -2.309 1.333 17.123
Rb 0.000 2.666 8.561
Sm -4.617 0.000 12.842
Sm -2.309 1.333 4.281
Sm 2.309 1.333 4.281
Bi 0.000 0.000 12.842
Te -2.314 -1.336 14.574
Te 0.000 0.000 6.017
Te 0.000 -2.672 11.110
Te -2.314 1.336 11.110
Te 2.314 -1.336 14.574
Te 0.000 2.672 14.574
Te 0.000 0.000 19.668
Te 2.314 1.336 11.110

---

! PBE-GGA Sm3Dy6Ho2Pu, relaxed; values from VASP
! Total magnetic moment   6.518 μB per formula unit
! ΔH_f (0 K)   4.1 kJ/mol of atoms
&SYSTEM
  ibrav = 0, nat = 12, ntyp = 4
/
ATOMIC_SPECIES
Sm 150.36 Sm.upf
Dy 162.50 Dy.upf
Ho 164.93 Ho.upf
Pu 244.00 Pu.upf
CELL_PARAMETERS angstrom
3.074 -5.326 0.000
3.074 5.326 0.000
-2.056 0.000 11.540
ATOMIC_POSITIONS angstrom
Sm 0.000 0.000 0.000
Sm 3.074 1.781 0.000
Sm 3.074 -1.781 0.000
Dy 1.034 1.754 2.935
Dy 0.019 0.000 8.606
Dy 1.034 -1.754 2.935
Dy 3.056 1.754 8.605
Dy 4.072 0.000 2.934
Dy 3.056 -1.754 8.605
Ho 2.045 3.551 5.770
Ho 2.045 -3.551 5.770
Pu 2.045 0.000 5.770